i) # PBE Ca2GeBr, relaxed
# - Calculated volume: 347.8 Å³ per cell
data_Ca2GeBr
_cell_length_a 4.1850
_cell_length_b 4.1850
_cell_length_c 22.9287
_cell_angle_alpha 90.00
_cell_angle_beta 90.00
_cell_angle_gamma 120.00
_space_group_name_H-M_alt 'R -3 m'
_space_group_IT_number 166
_space_group_name_Hall '-R 3 2"'
loop_
_atom_site_label
_atom_site_fract_x
_atom_site_fract_y
_atom_site_fract_z
Ca1 0.0000 0.0000 0.2412
Ge1 0.0000 0.0000 0.5000
Br1 0.0000 0.0000 0.0000



ii) # PBE Ca2GeBr, relaxed
# - Calculated volume: 512.2 Å³ per cell
data_Ca2GeBr
_cell_length_a 7.746
_cell_length_b 7.746
_cell_length_c 8.537
_cell_angle_alpha 90.00
_cell_angle_beta 90.00
_cell_angle_gamma 90.00
_space_group_name_H-M_alt 'I -4 2 d'
_space_group_IT_number 122
_space_group_name_Hall 'I -4 2bw'
loop_
_atom_site_label
_atom_site_fract_x
_atom_site_fract_y
_atom_site_fract_z
Ca1 0.244 0.250 0.125
Ge1 0.000 0.000 0.000
Br1 0.000 0.000 0.500



Top of the stability list: i), leading by 0.268 eV/atom.



i) # PBE CaGe3Br, relaxed
# - Calculated volume: 177.6 Å³ per cell
data_CaGe3Br
_cell_length_a 5.621
_cell_length_b 5.621
_cell_length_c 5.621
_cell_angle_alpha 90.00
_cell_angle_beta 90.00
_cell_angle_gamma 90.00
_space_group_name_H-M_alt 'P m -3 m'
_space_group_IT_number 221
_space_group_name_Hall '-P 4 2 3'
loop_
_atom_site_label
_atom_site_fract_x
_atom_site_fract_y
_atom_site_fract_z
Ca1 0.000 0.000 0.000
Ge1 0.000 0.000 0.500
Br1 0.500 0.500 0.500



ii) # PBE CaGe3Br, relaxed
# - Calculated volume: 142.8 Å³ per cell
data_CaGe3Br
_cell_length_a 5.227
_cell_length_b 5.227
_cell_length_c 5.227
_cell_angle_alpha 90.00
_cell_angle_beta 90.00
_cell_angle_gamma 90.00
_space_group_name_H-M_alt 'P m -3 m'
_space_group_IT_number 221
_space_group_name_Hall '-P 4 2 3'
loop_
_atom_site_label
_atom_site_fract_x
_atom_site_fract_y
_atom_site_fract_z
Ca1 0.000 0.000 0.000
Ge1 0.000 0.500 0.500
Br1 0.500 0.500 0.500



Top of the stability list: ii), leading by 0.444 eV/atom.



i) # PBE Ca2Ge2Br, relaxed
# - Calculated volume: 266.8 Å³ per cell
data_Ca2Ge2Br
_cell_length_a 3.965
_cell_length_b 3.965
_cell_length_c 16.970
_cell_angle_alpha 90.00
_cell_angle_beta 90.00
_cell_angle_gamma 90.00
_space_group_name_H-M_alt 'I 4/m m m'
_space_group_IT_number 139
_space_group_name_Hall '-I 4 2'
loop_
_atom_site_label
_atom_site_fract_x
_atom_site_fract_y
_atom_site_fract_z
Ca1 0.000 0.000 0.118
Ge1 0.000 0.500 0.250
Br1 0.000 0.000 0.500



ii) # PBE Ca2Ge2Br, relaxed
# - Calculated volume: 278.6 Å³ per cell
data_Ca2Ge2Br
_cell_length_a 8.076
_cell_length_b 8.076
_cell_length_c 4.271
_cell_angle_alpha 90.00
_cell_angle_beta 90.00
_cell_angle_gamma 90.00
_space_group_name_H-M_alt 'P 4/m b m'
_space_group_IT_number 127
_space_group_name_Hall '-P 4 2ab'
loop_
_atom_site_label
_atom_site_fract_x
_atom_site_fract_y
_atom_site_fract_z
Ca1 0.184 0.316 0.000
Ge1 0.102 0.602 0.500
Br1 0.000 0.000 0.000



Top of the stability list: ii), leading by 0.127 eV/atom.



i) # PBE CaGeSe2Br, relaxed
# - Calculated volume: 161.6 Å³ per cell
data_CaGeSe2Br
_cell_length_a 5.479
_cell_length_b 5.479
_cell_length_c 5.385
_cell_angle_alpha 90.00
_cell_angle_beta 90.00
_cell_angle_gamma 90.00
_space_group_name_H-M_alt 'P 4/m m m'
_space_group_IT_number 123
_space_group_name_Hall '-P 4 2'
loop_
_atom_site_label
_atom_site_fract_x
_atom_site_fract_y
_atom_site_fract_z
Ca1 0.000 0.000 0.000
Ge1 0.500 0.500 0.500
Se1 0.000 0.500 0.000
Br1 0.000 0.000 0.500



ii) # PBE CaGeSe2Br, relaxed
# - Calculated volume: 136.7 Å³ per cell
data_CaGeSe2Br
_cell_length_a 5.106
_cell_length_b 5.106
_cell_length_c 5.245
_cell_angle_alpha 90.00
_cell_angle_beta 90.00
_cell_angle_gamma 90.00
_space_group_name_H-M_alt 'P 4/m m m'
_space_group_IT_number 123
_space_group_name_Hall '-P 4 2'
loop_
_atom_site_label
_atom_site_fract_x
_atom_site_fract_y
_atom_site_fract_z
Ca1 0.000 0.000 0.000
Ge1 0.500 0.500 0.500
Se1 0.000 0.500 0.500
Br1 0.500 0.500 0.000



Top of the stability list: ii), leading by 0.504 eV/atom.